DFT (PBE) results for a geometry-optimized NiIr3Rh3 structure.

Cell: 7.8785 7.8785 5.8294 Å, 90.00 90.00 120.00°
Space group R3m (No. 160, hexagonal axes)
Inequivalent atoms, fractional coordinates:
Ni: 0.0000 0.0000 0.0000 [3 per cell]
Ir: 0.1850 0.3701 0.9045 [9 per cell]
Rh: 0.2136 0.4272 0.3340 [9 per cell]

The formation energy from the elements comes out at 0.39 eV per atom. The calculation puts the polymorph energy (0 for the lowest one) at 343 meV/atom.


DFT (PBE) results for a geometry-optimized Ni5IrRh2 structure.

Cell: 5.2351 5.2351 7.1979 Å, 90.00 90.00 90.00°
Space group I4/mmm (No. 139)
Inequivalent atoms, fractional coordinates:
Ni: 0.0000 0.0000 0.0000 [2 per cell]
Ni: 0.2500 0.2500 0.2500 [8 per cell]
Ir: 0.0000 0.0000 0.5000 [2 per cell]
Rh: 0.0000 0.5000 0.0000 [4 per cell]

The formation energy from the elements comes out at 0.03 eV per atom. The calculation puts the polymorph energy (0 for the lowest one) at 0 meV/atom.


DFT (PBE) results for a geometry-optimized NiIr3Rh4 structure.

Cell: 3.8221 3.8221 15.3321 Å, 90.00 90.00 90.00°
Space group I4/mmm (No. 139)
Inequivalent atoms, fractional coordinates:
Ni: 0.0000 0.0000 0.0000 [2 per cell]
Ir: 0.0000 0.0000 0.2482 [4 per cell]
Ir: 0.0000 0.0000 0.5000 [2 per cell]
Rh: 0.0000 0.5000 0.1243 [8 per cell]

The formation energy from the elements comes out at 0.02 eV per atom. The calculation puts the polymorph energy (0 for the lowest one) at 0 meV/atom.


DFT (PBE) results for a geometry-optimized Ni12IrRh6 structure.

Cell: 9.0531 9.0531 10.3648 Å, 90.00 90.00 120.00°
Space group R-3 (No. 148, hexagonal axes)
Inequivalent atoms, fractional coordinates:
Ni: 0.0480 0.1822 0.3080 [18 per cell]
Ni: 0.0564 0.8617 0.9087 [18 per cell]
Ir: 0.0000 0.0000 0.5000 [3 per cell]
Rh: 0.0217 0.4274 0.2126 [18 per cell]

The formation energy from the elements comes out at 0.19 eV per atom.


DFT (PBE) results for a geometry-optimized Ni2IrRh structure.

Cell: 2.6906 4.5047 8.6797 Å, 90.00 90.00 90.00°
Space group Cmmm (No. 65)
Inequivalent atoms, fractional coordinates:
Ni: 0.0000 0.0000 0.2503 [4 per cell]
Ir: 0.0000 0.5000 0.0000 [2 per cell]
Rh: 0.0000 0.5000 0.5000 [2 per cell]

The formation energy from the elements comes out at 0.21 eV per atom. The calculation puts the polymorph energy (0 for the lowest one) at 219 meV/atom.


DFT (PBE) results for a geometry-optimized Ni2IrRh structure.

Cell: 3.7795 3.7795 3.5521 Å, 90.00 90.00 90.00°
Space group P4/mmm (No. 123)
Inequivalent atoms, fractional coordinates:
Ni: 0.0000 0.5000 0.0000 [2 per cell]
Ir: 0.0000 0.0000 0.5000 [1 per cell]
Rh: 0.5000 0.5000 0.5000 [1 per cell]

The formation energy from the elements comes out at 0.04 eV per atom. The calculation puts the polymorph energy (0 for the lowest one) at 44 meV/atom.


DFT (PBE) results for a geometry-optimized NiIr2Rh8 structure.

Cell: 7.9247 9.9750 4.1891 Å, 90.00 90.00 90.00°
Space group Cmmm (No. 65)
Inequivalent atoms, fractional coordinates:
Ni: 0.0000 0.0000 0.0000 [2 per cell]
Ir: 0.0000 0.3752 0.5000 [4 per cell]
Rh: 0.0000 0.2424 0.0000 [4 per cell]
Rh: 0.1654 0.1326 0.5000 [8 per cell]
Rh: 0.1691 0.5000 0.0000 [4 per cell]

The formation energy from the elements comes out at 0.30 eV per atom. The calculation puts the polymorph energy (0 for the lowest one) at 0 meV/atom.


DFT (PBE) results for a geometry-optimized NiIr4Rh structure.

Cell: 2.7261 2.7261 11.2514 Å, 90.00 90.00 90.00°
Space group P4/mmm (No. 123)
Inequivalent atoms, fractional coordinates:
Ni: 0.0000 0.0000 0.0000 [1 per cell]
Ir: 0.0000 0.0000 0.3258 [2 per cell]
Ir: 0.5000 0.5000 0.1583 [2 per cell]
Rh: 0.5000 0.5000 0.5000 [1 per cell]

The formation energy from the elements comes out at 0.01 eV per atom. The calculation puts the polymorph energy (0 for the lowest one) at 0 meV/atom.


DFT (PBE) results for a geometry-optimized Ni3IrRh6 structure.

Cell: 10.5121 10.5121 8.7201 Å, 90.00 90.00 120.00°
Space group R-3m (No. 166, hexagonal axes)
Inequivalent atoms, fractional coordinates:
Ni: 0.0826 0.1651 0.2526 [18 per cell]
Ir: 0.0000 0.0000 0.0000 [3 per cell]
Ir: 0.0000 0.0000 0.5000 [3 per cell]
Rh: 0.0000 0.2567 0.5000 [18 per cell]
Rh: 0.0567 0.5283 0.6250 [18 per cell]

The formation energy from the elements comes out at 0.18 eV per atom.


DFT (PBE) results for a geometry-optimized Ni12Ir2Rh5 structure.

Cell: 11.4352 7.5981 5.5125 Å, 90.00 91.68 90.00°
Space group C2/m (No. 12)
Inequivalent atoms, fractional coordinates:
Ni: 0.0501 0.0000 0.3004 [4 per cell]
Ni: 0.1051 0.2296 0.5979 [8 per cell]
Ni: 0.1340 0.5000 0.9067 [4 per cell]
Ni: 0.1983 0.2518 0.2000 [8 per cell]
Ir: 0.0000 0.2511 0.0000 [4 per cell]
Rh: 0.0000 0.5000 0.5000 [2 per cell]
Rh: 0.1584 0.0000 0.9078 [4 per cell]
Rh: 0.2359 0.5000 0.5036 [4 per cell]

The formation energy from the elements comes out at 0.17 eV per atom.


DFT (PBE) results for a geometry-optimized Ni5IrRh6 structure.

Cell: 3.7641 11.2927 7.3593 Å, 90.00 90.00 90.00°
Space group Cmmm (No. 65)
Inequivalent atoms, fractional coordinates:
Ni: 0.0000 0.0000 0.0000 [2 per cell]
Ni: 0.0000 0.3335 0.5000 [4 per cell]
Ni: 0.0000 0.3348 0.0000 [4 per cell]
Ir: 0.0000 0.0000 0.5000 [2 per cell]
Rh: 0.0000 0.1678 0.2465 [8 per cell]
Rh: 0.0000 0.5000 0.2464 [4 per cell]

The formation energy from the elements comes out at 0.05 eV per atom.


DFT (PBE) results for a geometry-optimized Ni2Ir12Rh5 structure.

Cell: 17.5881 6.9469 4.7674 Å, 90.00 93.87 90.00°
Space group C2/m (No. 12)
Inequivalent atoms, fractional coordinates:
Ni: 0.0000 0.1837 0.0000 [4 per cell]
Ir: 0.0639 0.0000 0.4243 [4 per cell]
Ir: 0.0709 0.5000 0.0052 [4 per cell]
Ir: 0.1362 0.3067 0.6125 [8 per cell]
Ir: 0.1980 0.3168 0.1348 [8 per cell]
Rh: 0.0000 0.5000 0.5000 [2 per cell]
Rh: 0.1262 0.0000 0.9425 [4 per cell]
Rh: 0.2215 0.0000 0.4579 [4 per cell]

The formation energy from the elements comes out at 0.35 eV per atom.


Number 1: energy -7.383 eV per atom. Number 2: energy -6.525 eV per atom. Number 3: energy -7.705 eV per atom. Number 4: energy -6.253 eV per atom. Number 5: energy -6.729 eV per atom. Number 6: energy -6.904 eV per atom. Number 7: energy -7.186 eV per atom. Number 8: energy -8.089 eV per atom. Number 9: energy -6.855 eV per atom. Number 10: energy -6.352 eV per atom. Number 11: energy -6.776 eV per atom. Number 12: energy -7.792 eV per atom.